Computed, not measured: an optimized crystal structure of HoHg2Pd3 at the PBE level of DFT.

As for the theoretical density: 12.46 Mg/m³. As for the energy relative to the lowest polymorph listed for this composition: 33 meV per atom. Its crystal system is orthorhombic. For the energy of formation, the calculation gives -464 meV/atom.

It has space group Pmc2_1 (No. 26), with a = 4.446 Å, b = 8.620 Å, c = 6.160 Å, α = 90.00°, β = 90.00° and γ = 90.00°. The asymmetric unit holds Ho at (0.000, 0.127, 0.000), Hg at (0.000, 0.244, 0.517), Hg at (0.500, 0.417, 0.850), Pd at (0.000, 0.443, 0.137), Pd at (0.500, 0.071, 0.673) and Pd at (0.500, 0.246, 0.249).

=====

Computed, not measured: an optimized crystal structure of LaNiCl at the PBE level of DFT.

As for the theoretical density: 5.82 Mg/m³. The calculation puts the raw formation energy at -0.737 eV per atom. Its crystal system is orthorhombic.

It has space group Fmm2 (No. 42), with a = 5.153 Å, b = 5.163 Å, c = 9.996 Å, α = 90.00°, β = 90.00° and γ = 90.00°. The asymmetric unit holds La at (0.000, 0.000, 0.000), Ni at (0.000, 0.000, 0.369) and Cl at (0.000, 0.000, 0.692).

=====

Computed, not measured: an optimized crystal structure of RbTcOs at the PBE level of DFT.

As for the theoretical density: 8.78 Mg/m³. As for the energy relative to the lowest polymorph listed for this composition: 0 meV per atom. Its crystal system is triclinic. For the energy of formation, the calculation gives 836 meV/atom.

It has space group P1 (No. 1), with a = 2.806 Å, b = 6.149 Å, c = 8.926 Å, α = 70.00°, β = 85.27° and γ = 77.53°. The asymmetric unit holds Rb at (0.000, 0.000, 0.000), Rb at (0.072, 0.374, 0.252), Tc at (0.344, 0.986, 0.628), Tc at (0.977, 0.755, 0.480), Os at (0.613, 0.375, 0.629) and Os at (0.970, 0.607, 0.778).

=====

Computed, not measured: an optimized crystal structure of Ti2ReSbPd at the PBE level of DFT.

As for the theoretical density: 7.74 Mg/m³. The calculation puts the raw formation energy at 0.612 eV per atom. Its crystal system is tetragonal.

It has space group P4/mmm (No. 123), with a = 4.693 Å, b = 4.693 Å, c = 4.967 Å, α = 90.00°, β = 90.00° and γ = 90.00°. The asymmetric unit holds Ti at (0.000, 0.500, 0.000), Re at (0.000, 0.000, 0.000), Sb at (0.500, 0.500, 0.500) and Pd at (0.000, 0.000, 0.500).

=====

Computed, not measured: an optimized crystal structure of PrTm3In2 at the PBE level of DFT.

As for the theoretical density: 8.51 Mg/m³. As for the energy relative to the lowest polymorph listed for this composition: 0 meV per atom. Its crystal system is orthorhombic. For the energy of formation, the calculation gives -341 meV/atom.

It has space group Pmc2_1 (No. 26), with a = 5.181 Å, b = 9.846 Å, c = 6.712 Å, α = 90.00°, β = 90.00° and γ = 90.00°. The asymmetric unit holds Pr at (0.000, 0.037, 0.000), Tm at (0.000, 0.322, 0.637), Tm at (0.500, 0.190, 0.278), Tm at (0.500, 0.459, 0.921), In at (0.000, 0.362, 0.168) and In at (0.500, 0.147, 0.743).

=====

Computed, not measured: an optimized crystal structure of Zn2PtAu2 at the PBE level of DFT.

As for the theoretical density: 14.52 Mg/m³. As for the energy relative to the lowest polymorph listed for this composition: 170 meV per atom. Its crystal system is tetragonal. For the energy of formation, the calculation gives -130 meV/atom.

It has space group P4/mbm (No. 127), with a = 7.456 Å, b = 7.456 Å, c = 2.962 Å, α = 90.00°, β = 90.00° and γ = 90.00°. The asymmetric unit holds Zn at (0.164, 0.336, 0.000), Pt at (0.000, 0.000, 0.500) and Au at (0.137, 0.637, 0.500).

=====

Computed, not measured: an optimized crystal structure of PmTlZnCd at the PBE level of DFT.

As for the theoretical density: 9.08 Mg/m³. Its crystal system is cubic. For the energy of formation, the calculation gives -217 meV/atom.

It has space group F-43m (No. 216), with a = 7.278 Å, b = 7.278 Å, c = 7.278 Å, α = 90.00°, β = 90.00° and γ = 90.00°. The asymmetric unit holds Pm at (0.000, 0.000, 0.000), Tl at (0.250, 0.250, 0.750), Zn at (0.250, 0.250, 0.250) and Cd at (0.000, 0.000, 0.500).

=====

Computed, not measured: an optimized crystal structure of EuPuZn at the PBE level of DFT.

As for the theoretical density: 9.22 Mg/m³. Its crystal system is tetragonal. For the energy of formation, the calculation gives 52 meV/atom.

It has space group I4mm (No. 107), with a = 3.509 Å, b = 3.509 Å, c = 13.495 Å, α = 90.00°, β = 90.00° and γ = 90.00°. The asymmetric unit holds Eu at (0.000, 0.000, 0.000), Pu at (0.000, 0.000, 0.716) and Zn at (0.000, 0.000, 0.351).